RbTiAg2 | PBE | relaxed

Results
For the density of states at the Fermi level, the calculation gives 7.166 states/eV/cell. The energy comes out at -11.24 eV per cell.

Geometry as CIF:
```
data_RbTiAg2
_symmetry_space_group_name_H-M 'P 1'
_symmetry_Int_Tables_number 1
_symmetry_space_group_name_Hall 'P 1'
_cell_length_a 5.200
_cell_length_b 5.200
_cell_length_c 5.200
_cell_angle_alpha 60.00
_cell_angle_beta 60.00
_cell_angle_gamma 60.00
loop_
_atom_site_label
_atom_site_fract_x
_atom_site_fract_y
_atom_site_fract_z
Rb1 0.000 0.000 0.000
Ti1 0.500 0.500 0.500
Ag1 0.250 0.250 0.250
Ag2 0.750 0.750 0.750
```



RbTiV2Ag | PBE | relaxed

Results
For the density of states at the Fermi level, the calculation gives 17.988 states/eV/cell. The energy comes out at -22.57 eV per cell.

Geometry as CIF:
```
data_RbTiV2Ag
_symmetry_space_group_name_H-M 'P 1'
_symmetry_Int_Tables_number 1
_symmetry_space_group_name_Hall 'P 1'
_cell_length_a 5.239
_cell_length_b 5.239
_cell_length_c 5.143
_cell_angle_alpha 90.00
_cell_angle_beta 90.00
_cell_angle_gamma 90.00
loop_
_atom_site_label
_atom_site_fract_x
_atom_site_fract_y
_atom_site_fract_z
Rb1 0.000 0.000 0.000
Ti1 0.500 0.500 0.000
V1 0.000 0.500 0.500
V2 0.500 0.000 0.500
Ag1 0.500 0.500 0.500
```



RbTi2AgW | PBE | relaxed

Results
For the density of states at the Fermi level, the calculation gives 7.446 states/eV/cell. The energy comes out at -21.07 eV per cell.

Geometry as CIF:
```
data_RbTi2AgW
_symmetry_space_group_name_H-M 'P 1'
_symmetry_Int_Tables_number 1
_symmetry_space_group_name_Hall 'P 1'
_cell_length_a 4.998
_cell_length_b 4.998
_cell_length_c 5.333
_cell_angle_alpha 90.00
_cell_angle_beta 90.00
_cell_angle_gamma 90.00
loop_
_atom_site_label
_atom_site_fract_x
_atom_site_fract_y
_atom_site_fract_z
Rb1 0.000 0.000 0.000
Ti1 0.000 0.500 0.500
Ti2 0.500 0.000 0.500
Ag1 0.000 0.000 0.500
W1 0.500 0.500 0.000
```



Rb2TiAgW | PBE | relaxed

Results
For the density of states at the Fermi level, the calculation gives 7.401 states/eV/cell. The energy comes out at -15.44 eV per cell.

Geometry as CIF:
```
data_Rb2TiAgW
_symmetry_space_group_name_H-M 'P 1'
_symmetry_Int_Tables_number 1
_symmetry_space_group_name_Hall 'P 1'
_cell_length_a 6.324
_cell_length_b 6.324
_cell_length_c 5.332
_cell_angle_alpha 90.00
_cell_angle_beta 90.00
_cell_angle_gamma 90.00
loop_
_atom_site_label
_atom_site_fract_x
_atom_site_fract_y
_atom_site_fract_z
Rb1 0.000 0.500 0.000
Rb2 0.500 0.000 0.000
Ti1 0.000 0.000 0.500
Ag1 0.000 0.000 0.000
W1 0.500 0.500 0.500
```



Rb2TlAg | PBE | relaxed

Results
For the density of states at the Fermi level, the calculation gives 2.050 states/eV/cell. The energy comes out at -6.13 eV per cell.

Geometry as CIF:
```
data_Rb2TlAg
_symmetry_space_group_name_H-M 'P 1'
_symmetry_Int_Tables_number 1
_symmetry_space_group_name_Hall 'P 1'
_cell_length_a 12.687
_cell_length_b 12.687
_cell_length_c 12.687
_cell_angle_alpha 19.39
_cell_angle_beta 19.39
_cell_angle_gamma 19.39
loop_
_atom_site_label
_atom_site_fract_x
_atom_site_fract_y
_atom_site_fract_z
Rb1 0.100 0.100 0.100
Rb2 0.900 0.900 0.900
Tl1 0.000 0.000 0.000
Ag1 0.500 0.500 0.500
```



Rb2Tl2Ag | PBE | relaxed

Results
For the density of states at the Fermi level, the calculation gives 7.271 states/eV/cell. The energy comes out at -16.39 eV per cell.

Geometry as CIF:
```
data_Rb2Tl2Ag
_symmetry_space_group_name_H-M 'P 1'
_symmetry_Int_Tables_number 1
_symmetry_space_group_name_Hall 'P 1'
_cell_length_a 11.232
_cell_length_b 11.232
_cell_length_c 3.428
_cell_angle_alpha 90.00
_cell_angle_beta 90.00
_cell_angle_gamma 90.00
loop_
_atom_site_label
_atom_site_fract_x
_atom_site_fract_y
_atom_site_fract_z
Rb1 0.201 0.299 0.000
Rb2 0.299 0.799 0.000
Rb3 0.701 0.201 0.000
Rb4 0.799 0.701 0.000
Tl1 0.095 0.595 0.500
Tl2 0.405 0.095 0.500
Tl3 0.595 0.905 0.500
Tl4 0.905 0.405 0.500
Ag1 0.000 0.000 0.000
Ag2 0.500 0.500 0.000
```



Rb2Tl2Ag | PBE | relaxed

Results
For the density of states at the Fermi level, the calculation gives 4.939 states/eV/cell. The energy comes out at -18.84 eV per cell.

Geometry as CIF:
```
data_Rb2Tl2Ag
_symmetry_space_group_name_H-M 'P 1'
_symmetry_Int_Tables_number 1
_symmetry_space_group_name_Hall 'P 1'
_cell_length_a 7.543
_cell_length_b 7.543
_cell_length_c 8.398
_cell_angle_alpha 101.66
_cell_angle_beta 101.66
_cell_angle_gamma 110.97
loop_
_atom_site_label
_atom_site_fract_x
_atom_site_fract_y
_atom_site_fract_z
Rb1 0.112 0.767 0.744
Rb2 0.233 0.888 0.256
Rb3 0.767 0.112 0.744
Rb4 0.888 0.233 0.256
Tl1 0.288 0.288 0.666
Tl2 0.340 0.340 0.068
Tl3 0.660 0.660 0.932
Tl4 0.712 0.712 0.334
Ag1 0.389 0.611 0.500
Ag2 0.611 0.389 0.500
```



RbTl3Ag | PBE | relaxed

Results
For the density of states at the Fermi level, the calculation gives 8.149 states/eV/cell. The energy comes out at -6.29 eV per cell.

Geometry as CIF:
```
data_RbTl3Ag
_symmetry_space_group_name_H-M 'P 1'
_symmetry_Int_Tables_number 1
_symmetry_space_group_name_Hall 'P 1'
_cell_length_a 6.409
_cell_length_b 6.409
_cell_length_c 6.409
_cell_angle_alpha 90.00
_cell_angle_beta 90.00
_cell_angle_gamma 90.00
loop_
_atom_site_label
_atom_site_fract_x
_atom_site_fract_y
_atom_site_fract_z
Rb1 0.000 0.000 0.000
Tl1 0.000 0.000 0.500
Tl2 0.000 0.500 0.000
Tl3 0.500 0.000 0.000
Ag1 0.500 0.500 0.500
```



Rb2TlAg | PBE | relaxed

Results
For the density of states at the Fermi level, the calculation gives 2.641 states/eV/cell. The energy comes out at -7.06 eV per cell.

Geometry as CIF:
```
data_Rb2TlAg
_symmetry_space_group_name_H-M 'P 1'
_symmetry_Int_Tables_number 1
_symmetry_space_group_name_Hall 'P 1'
_cell_length_a 6.935
_cell_length_b 6.935
_cell_length_c 4.830
_cell_angle_alpha 110.11
_cell_angle_beta 110.11
_cell_angle_gamma 62.65
loop_
_atom_site_label
_atom_site_fract_x
_atom_site_fract_y
_atom_site_fract_z
Rb1 0.192 0.192 0.193
Rb2 0.808 0.808 0.807
Tl1 0.498 0.502 0.000
Ag1 0.713 0.287 0.500
```



Rb3Tl9Ag2 | PBE | relaxed

Results
For the density of states at the Fermi level, the calculation gives 7.795 states/eV/cell. The energy comes out at -30.12 eV per cell.

Geometry as CIF:
```
data_Rb3Tl9Ag2
_symmetry_space_group_name_H-M 'P 1'
_symmetry_Int_Tables_number 1
_symmetry_space_group_name_Hall 'P 1'
_cell_length_a 10.042
_cell_length_b 10.042
_cell_length_c 10.042
_cell_angle_alpha 150.37
_cell_angle_beta 104.39
_cell_angle_gamma 83.23
loop_
_atom_site_label
_atom_site_fract_x
_atom_site_fract_y
_atom_site_fract_z
Rb1 0.000 0.000 0.000
Rb2 0.317 0.317 0.000
Rb3 0.683 0.683 0.000
Tl1 0.033 0.678 0.354
Tl2 0.166 0.885 0.281
Tl3 0.324 0.678 0.646
Tl4 0.397 0.115 0.281
Tl5 0.500 0.000 0.500
Tl6 0.603 0.885 0.719
Tl7 0.676 0.322 0.354
Tl8 0.834 0.115 0.719
Tl9 0.967 0.322 0.646
Ag1 0.270 0.500 0.770
Ag2 0.730 0.500 0.230
```



Rb2Tl2Ag | PBE | relaxed

Results
For the density of states at the Fermi level, the calculation gives 3.322 states/eV/cell. The energy comes out at -7.61 eV per cell.

Geometry as CIF:
```
data_Rb2Tl2Ag
_symmetry_space_group_name_H-M 'P 1'
_symmetry_Int_Tables_number 1
_symmetry_space_group_name_Hall 'P 1'
_cell_length_a 8.864
_cell_length_b 8.864
_cell_length_c 8.864
_cell_angle_alpha 145.34
_cell_angle_beta 145.34
_cell_angle_gamma 49.82
loop_
_atom_site_label
_atom_site_fract_x
_atom_site_fract_y
_atom_site_fract_z
Rb1 0.250 0.750 0.500
Rb2 0.750 0.250 0.500
Tl1 0.089 0.089 0.000
Tl2 0.911 0.911 0.000
Ag1 0.500 0.500 0.000
```